1.
Here is crystalline Pr2ScAlAu6 at its relaxed geometry from the Alexandria database. Energies are from PBE.

The calculation puts the formation energy at -611 meV per atom. The space group is P-1. As for the electronic total energy: -45.4 eV per cell.

Unit cell a=8.4150 b=5.2828 c=5.4090 alpha=78.62 beta=77.89 gamma=104.83
Closest atoms and distances in Å follow each position.
Positions (direct):
Au 0.3125 0.8699 0.0701  3 Au 2.84-2.96, 1 Sc 2.84, 1 Al 2.96, 2 Pr 3.04-3.05
Au 0.5820 0.7804 0.4445  4 Au 2.81-3.08, 1 Sc 2.92, 1 Pr 3.13
Au 0.6875 0.1301 0.9299  3 Au 2.84-2.96, 1 Sc 2.84, 1 Al 2.96, 2 Pr 3.04-3.05
Au 0.4180 0.2196 0.5555  4 Au 2.81-3.08, 1 Sc 2.92, 1 Pr 3.13
Au 0.8496 0.7743 0.7029  1 Al 2.54
Au 0.1504 0.2257 0.2971  1 Al 2.54
Al 0.0000 0.0000 0.0000  2 Au 2.54
Pr 0.8188 0.3759 0.3406  7 Au 3.04-3.32, 2 Al 3.23-3.39
Pr 0.1812 0.6241 0.6594  7 Au 3.04-3.32, 2 Al 3.23-3.39
Sc 0.5000 0.5000 0.0000  8 Au 2.84-3.17

2.
Here is crystalline Pr2ScAl4Au3 at its relaxed geometry from the Alexandria database. Energies are from PBE.

The calculation puts the formation energy at -654 meV per atom. The space group is P-4m2. As for the electronic total energy: -47.2 eV per cell.

Unit cell a=4.3307 b=4.3307 c=11.4798 alpha=90.00 beta=90.00 gamma=90.00
Closest atoms and distances in Å follow each position.
Positions (direct):
Al 0.5000 0.0000 0.6544  3 Au 2.53-2.80, 2 Sc 2.80
Al 0.5000 0.5000 0.0000  4 Au 2.60
Al 0.0000 0.5000 0.3456  3 Au 2.53-2.80, 2 Sc 2.80
Al 0.0000 0.0000 0.0000  4 Au 2.60
Au 0.0000 0.0000 0.5000  4 Al 2.80, 4 Sc 3.06
Au 0.5000 0.0000 0.8746  5 Al 2.53-2.60
Au 0.0000 0.5000 0.1254  5 Al 2.53-2.60
Pr 0.0000 0.5000 0.7593  8 Al 3.29-3.51, 6 Au 3.34-3.68, 2 Sc 3.68
Pr 0.5000 0.0000 0.2407  8 Al 3.29-3.51, 6 Au 3.34-3.68, 2 Sc 3.68
Sc 0.5000 0.5000 0.5000  4 Al 2.80, 4 Au 3.06

3.
Here is crystalline Pr2Al3SiAu4 at its relaxed geometry from the Alexandria database. Energies are from PBE.

The space group is P-4m2. For the uncorrected formation energy, the calculation gives -0.694 eV/atom. As for the electronic total energy: -46.3 eV per cell.

Unit cell a=4.4421 b=4.4421 c=10.3539 alpha=90.00 beta=90.00 gamma=90.00
Closest atoms and distances in Å follow each position.
Positions (direct):
Si 0.5000 0.5000 0.5000  4 Au 2.57
Au 0.5000 0.0000 0.6241  3 Al 2.54-2.57, 2 Si 2.57
Au 0.0000 0.5000 0.3759  3 Al 2.54-2.57, 2 Si 2.57
Au 0.5000 0.5000 0.0000  4 Al 2.60
Au 0.0000 0.0000 0.0000  4 Al 2.60
Pr 0.5000 0.0000 0.2536  6 Al 3.38-3.39, 2 Si 3.38, 8 Au 3.39-3.44
Pr 0.0000 0.5000 0.7464  6 Al 3.38-3.39, 2 Si 3.38, 8 Au 3.39-3.44
Al 0.0000 0.0000 0.5000  4 Au 2.57
Al 0.0000 0.5000 0.1308  5 Au 2.54-2.60
Al 0.5000 0.0000 0.8692  5 Au 2.54-2.60

4.
Here is crystalline PrSmAlAu at its relaxed geometry from the Alexandria database. Energies are from PBE.

The calculation puts the formation energy at -483 meV per atom. The space group is F-43m. As for the electronic total energy: -18.5 eV per cell.

Unit cell a=5.2911 b=5.2911 c=5.2911 alpha=60.00 beta=60.00 gamma=60.00
Closest atoms and distances in Å follow each position.
Positions (direct):
Sm 0.2500 0.2500 0.2500  4 Au 3.24, 4 Al 3.24
Al 0.0000 0.0000 0.0000  4 Sm 3.24, 4 Pr 3.24
Pr 0.7500 0.7500 0.7500  4 Al 3.24, 4 Au 3.24
Au 0.5000 0.5000 0.5000  4 Pr 3.24, 4 Sm 3.24

5.
Here is crystalline Pr2SmAl4Au3 at its relaxed geometry from the Alexandria database. Energies are from PBE.

The calculation puts the formation energy at -597 meV per atom. The space group is P-4m2. As for the electronic total energy: -45.1 eV per cell.

Unit cell a=4.4001 b=4.4001 c=11.7998 alpha=90.00 beta=90.00 gamma=90.00
Closest atoms and distances in Å follow each position.
Positions (direct):
Pr 0.5000 0.0000 0.2289  8 Al 3.33-3.48, 4 Au 3.38
Pr 0.0000 0.5000 0.7711  8 Al 3.33-3.48, 4 Au 3.38
Sm 0.5000 0.5000 0.5000  4 Al 2.98, 4 Au 3.11
Au 0.5000 0.0000 0.8825  5 Al 2.50-2.60
Au 0.0000 0.0000 0.5000  4 Al 2.98, 4 Sm 3.11
Au 0.0000 0.5000 0.1175  5 Al 2.50-2.60
Al 0.5000 0.0000 0.6708  1 Au 2.50
Al 0.0000 0.5000 0.3292  1 Au 2.50
Al 0.0000 0.0000 0.0000  4 Au 2.60
Al 0.5000 0.5000 0.0000  4 Au 2.60

6.
Here is crystalline Pr2Al3SnAu4 at its relaxed geometry from the Alexandria database. Energies are from PBE.

The calculation puts the formation energy at -688 meV per atom. The space group is P-4m2. As for the electronic total energy: -44.8 eV per cell.

Unit cell a=4.4924 b=4.4924 c=10.7305 alpha=90.00 beta=90.00 gamma=90.00
Closest atoms and distances in Å follow each position.
Positions (direct):
Au 0.5000 0.0000 0.6445  3 Al 2.50-2.73, 2 Sn 2.73
Au 0.0000 0.0000 0.0000  4 Al 2.60
Au 0.5000 0.5000 0.0000  4 Al 2.60
Au 0.0000 0.5000 0.3555  3 Al 2.50-2.73, 2 Sn 2.73
Pr 0.5000 0.0000 0.2407  8 Au 3.41-3.42, 6 Al 3.42-3.58, 2 Sn 3.58
Pr 0.0000 0.5000 0.7593  8 Au 3.41-3.42, 6 Al 3.42-3.58, 2 Sn 3.58
Al 0.0000 0.0000 0.5000  4 Au 2.73
Al 0.5000 0.0000 0.8776  5 Au 2.50-2.60
Al 0.0000 0.5000 0.1224  5 Au 2.50-2.60
Sn 0.5000 0.5000 0.5000  4 Au 2.73

7.
Here is crystalline SrPrAlAu at its relaxed geometry from the Alexandria database. Energies are from PBE.

The calculation puts the formation energy at -414 meV per atom. The space group is F-43m. As for the electronic total energy: -15.1 eV per cell.

Unit cell a=5.4028 b=5.4028 c=5.4028 alpha=60.00 beta=60.00 gamma=60.00
Closest atoms and distances in Å follow each position.
Positions (direct):
Pr 0.7500 0.7500 0.7500  4 Al 3.31, 4 Au 3.31
Sr 0.2500 0.2500 0.2500  4 Al 3.31, 4 Au 3.31
Al 0.5000 0.5000 0.5000  4 Pr 3.31, 4 Sr 3.31
Au 0.0000 0.0000 0.0000  4 Sr 3.31, 4 Pr 3.31

8.
Here is crystalline Tb2PrAlAu4 at its relaxed geometry from the Alexandria database. Energies are from PBE.

The calculation puts the formation energy at -727 meV per atom. The space group is R-3m. As for the electronic total energy: -36.7 eV per cell.

Unit cell a=4.9850 b=4.9850 c=9.0149 alpha=73.95 beta=73.95 gamma=60.00
Closest atoms and distances in Å follow each position.
Positions (direct):
Tb 0.2385 0.2385 0.2846  7 Au 2.96-3.02
Tb 0.7615 0.7615 0.7154  7 Au 2.96-3.02
Au 0.8782 0.8782 0.3653  4 Tb 2.96-2.99, 3 Al 3.10, 1 Pr 3.12, 3 Au 3.29
Au 0.6069 0.6069 0.1793  1 Al 2.74, 3 Tb 3.02
Au 0.3931 0.3931 0.8207  1 Al 2.74, 3 Tb 3.02
Au 0.1218 0.1218 0.6347  4 Tb 2.96-2.99, 3 Al 3.10, 1 Pr 3.12, 3 Au 3.29
Al 0.5000 0.5000 0.5000  2 Au 2.74
Pr 0.0000 0.0000 0.0000  8 Au 3.12-3.26

9.
Here is crystalline TbPr2Al4Au3 at its relaxed geometry from the Alexandria database. Energies are from PBE.

The calculation puts the formation energy at -618 meV per atom. The space group is P-4m2. As for the electronic total energy: -45.2 eV per cell.

Unit cell a=4.3792 b=4.3792 c=11.7520 alpha=90.00 beta=90.00 gamma=90.00
Closest atoms and distances in Å follow each position.
Positions (direct):
Al 0.5000 0.0000 0.6678  1 Au 2.50
Al 0.5000 0.5000 0.0000  4 Au 2.60
Al 0.0000 0.5000 0.3322  1 Au 2.50
Al 0.0000 0.0000 0.0000  4 Au 2.60
Pr 0.5000 0.0000 0.2315  8 Al 3.32-3.49, 4 Au 3.37
Pr 0.0000 0.5000 0.7685  8 Al 3.32-3.49, 4 Au 3.37
Au 0.5000 0.0000 0.8808  5 Al 2.50-2.60
Au 0.0000 0.5000 0.1192  5 Al 2.50-2.60
Au 0.0000 0.0000 0.5000  4 Al 2.95, 4 Tb 3.10
Tb 0.5000 0.5000 0.5000  4 Al 2.95, 4 Au 3.10

10.
Here is crystalline TbPrAlAu at its relaxed geometry from the Alexandria database. Energies are from PBE.

The calculation puts the formation energy at -498 meV per atom. The space group is F-43m. As for the electronic total energy: -18.4 eV per cell.

Unit cell a=5.2516 b=5.2516 c=5.2516 alpha=60.00 beta=60.00 gamma=60.00
Closest atoms and distances in Å follow each position.
Positions (direct):
Al 0.7500 0.7500 0.7500  4 Pr 3.22, 4 Tb 3.22
Pr 0.0000 0.0000 0.0000  4 Al 3.22, 4 Au 3.22
Tb 0.5000 0.5000 0.5000  4 Au 3.22, 4 Al 3.22
Au 0.2500 0.2500 0.2500  4 Tb 3.22, 4 Pr 3.22

11.
Here is crystalline PrThAlAu at its relaxed geometry from the Alexandria database. Energies are from PBE.

The calculation puts the formation energy at -372 meV per atom. The space group is F-43m. As for the electronic total energy: -20.7 eV per cell.

Unit cell a=5.3097 b=5.3097 c=5.3097 alpha=60.00 beta=60.00 gamma=60.00
Closest atoms and distances in Å follow each position.
Positions (direct):
Th 0.7500 0.7500 0.7500  4 Al 3.25, 4 Au 3.25
Pr 0.2500 0.2500 0.2500  4 Au 3.25, 4 Al 3.25
Au 0.0000 0.0000 0.0000  4 Th 3.25, 4 Pr 3.25
Al 0.5000 0.5000 0.5000  4 Pr 3.25, 4 Th 3.25

12.
Here is crystalline PrTmAlAu at its relaxed geometry from the Alexandria database. Energies are from PBE.

The calculation puts the formation energy at -508 meV per atom. The space group is F-43m. As for the electronic total energy: -18.3 eV per cell.

Unit cell a=5.2089 b=5.2089 c=5.2089 alpha=60.00 beta=60.00 gamma=60.00
Closest atoms and distances in Å follow each position.
Positions (direct):
Pr 0.2500 0.2500 0.2500  4 Al 3.19, 4 Au 3.19
Au 0.0000 0.0000 0.0000  4 Pr 3.19, 4 Tm 3.19
Tm 0.7500 0.7500 0.7500  4 Al 3.19, 4 Au 3.19
Al 0.5000 0.5000 0.5000  4 Pr 3.19, 4 Tm 3.19

> electronic total energy of number 5 (Pr2SmAl4Au3)?

-45.1 eV per cell

> Which of these has the lowest electronic total energy?

Pr2ScAl4Au3